A plane-wave DFT calculation with PBE with a Hubbard U was carried out for a geometry-optimized Fe3OF5 structure.

Calculated values
Total magnetization, Bohr magnetons per cell: 18.001
Excess energy over the best structure of this formula in the dataset, meV/atom: 241
Crystal system: monoclinic

Cell: 4.831 3.169 14.334 Å, 90.00 91.33 90.00°
Space group P2/m (No. 10)
Asymmetric unit:
Fe1 0.000 0.000 0.000 x1
Fe2 0.008 0.000 0.671 x2
Fe3 0.465 0.500 0.822 x2
Fe4 0.500 0.500 0.500 x1
O1 0.302 0.000 0.770 x2
F1 0.191 0.500 0.601 x2
F2 0.206 0.500 0.260 x2
F3 0.214 0.500 0.935 x2
F4 0.302 0.000 0.429 x2
F5 0.310 0.000 0.102 x2